No. 1
{"formula": "Ca2MgSn3Pd4", "functional": "PBE-GGA", "state": "optimized geometry", "cell": [[4.436, 0.000, 0.000], [0.000, 4.436, 0.000], [0.000, 0.000, 11.339]], "species": ["Ca", "Ca", "Mg", "Sn", "Sn", "Sn", "Pd", "Pd", "Pd", "Pd"], "frac_coords": [[0.000, 0.500, 0.244], [0.500, 0.000, 0.756], [0.000, 0.000, 0.500], [0.000, 0.500, 0.868], [0.500, 0.000, 0.132], [0.500, 0.500, 0.500], [0.000, 0.000, 0.000], [0.000, 0.500, 0.637], [0.500, 0.000, 0.363], [0.500, 0.500, 0.000]], "sg": "P-4m2, No. 115", "e_form_mev_per_atom": -685}

=====

No. 2
{"formula": "CaMg2SnPd4", "functional": "PBE-GGA", "state": "optimized geometry", "cell": [[2.339, 1.350, 7.612], [-2.339, 1.350, 7.612], [0.000, -2.700, 7.612]], "species": ["Ca", "Mg", "Mg", "Sn", "Pd", "Pd", "Pd", "Pd"], "frac_coords": [[0.000, 0.000, 0.000], [0.250, 0.250, 0.250], [0.750, 0.750, 0.750], [0.500, 0.500, 0.500], [0.130, 0.130, 0.130], [0.381, 0.381, 0.381], [0.619, 0.619, 0.619], [0.870, 0.870, 0.870]], "sg": "R-3m, No. 166", "e_form_mev_per_atom": -664}

=====

No. 3
{"formula": "SrCa2MgPd", "functional": "PBE-GGA", "state": "optimized geometry", "cell": [[5.647, 0.000, 0.000], [0.000, 5.647, 0.000], [0.000, 0.000, 5.331]], "species": ["Sr", "Ca", "Ca", "Mg", "Pd"], "frac_coords": [[0.000, 0.000, 0.000], [0.000, 0.500, 0.500], [0.500, 0.000, 0.500], [0.500, 0.500, 0.000], [0.500, 0.500, 0.500]], "sg": "P4/mmm, No. 123", "e_form_mev_per_atom": -286, "e_above_lowest_polymorph_ev_per_atom": 0.000}

=====

No. 4
{"formula": "Sr2CaMgPd", "functional": "PBE-GGA", "state": "optimized geometry", "cell": [[5.935, 0.000, 0.000], [0.000, 5.935, 0.000], [0.000, 0.000, 5.597]], "species": ["Sr", "Sr", "Ca", "Mg", "Pd"], "frac_coords": [[0.000, 0.500, 0.000], [0.500, 0.000, 0.000], [0.000, 0.000, 0.500], [0.500, 0.500, 0.500], [0.000, 0.000, 0.000]], "sg": "P4/mmm, No. 123", "e_form_mev_per_atom": -233, "e_above_lowest_polymorph_ev_per_atom": 0.000}

=====

No. 5
{"formula": "SrCa2MgPd", "functional": "PBE-GGA", "state": "optimized geometry", "cell": [[5.608, 0.000, 0.000], [0.000, 5.608, 0.000], [0.000, 0.000, 5.899]], "species": ["Sr", "Ca", "Ca", "Mg", "Pd"], "frac_coords": [[0.000, 0.000, 0.000], [0.000, 0.500, 0.500], [0.500, 0.000, 0.500], [0.500, 0.500, 0.000], [0.000, 0.000, 0.500]], "sg": "P4/mmm, No. 123", "e_form_mev_per_atom": -241, "e_above_lowest_polymorph_ev_per_atom": 0.044}

=====

No. 6
{"formula": "Sr2CaMgPd", "functional": "PBE-GGA", "state": "optimized geometry", "cell": [[5.935, 0.000, 0.000], [0.000, 5.935, 0.000], [0.000, 0.000, 5.312]], "species": ["Sr", "Sr", "Ca", "Mg", "Pd"], "frac_coords": [[0.000, 0.500, 0.000], [0.500, 0.000, 0.000], [0.000, 0.000, 0.500], [0.500, 0.500, 0.500], [0.500, 0.500, 0.000]], "sg": "P4/mmm, No. 123", "e_form_mev_per_atom": -224, "e_above_lowest_polymorph_ev_per_atom": 0.009}

=====

No. 7
{"formula": "Ca2MgTcPd", "functional": "PBE-GGA", "state": "optimized geometry", "cell": [[5.474, 0.000, 0.000], [0.000, 5.474, 0.000], [0.000, 0.000, 4.788]], "species": ["Ca", "Ca", "Mg", "Tc", "Pd"], "frac_coords": [[0.000, 0.500, 0.000], [0.500, 0.000, 0.000], [0.000, 0.000, 0.500], [0.500, 0.500, 0.000], [0.500, 0.500, 0.500]], "sg": "P4/mmm, No. 123", "e_form_mev_per_atom": 534}

=====

No. 8
{"formula": "CaMg2TePd", "functional": "PBE-GGA", "state": "optimized geometry", "cell": [[5.872, 0.000, 0.000], [0.000, 5.872, 0.000], [0.000, 0.000, 4.878]], "species": ["Ca", "Mg", "Mg", "Te", "Pd"], "frac_coords": [[0.000, 0.000, 0.000], [0.000, 0.500, 0.000], [0.500, 0.000, 0.000], [0.500, 0.500, 0.500], [0.000, 0.000, 0.500]], "e_form_raw_mev_per_atom": 647, "sg": "P4/mmm, No. 123"}

=====

No. 9
{"formula": "CaMg2TlPd", "functional": "PBE-GGA", "state": "optimized geometry", "cell": [[5.078, 0.000, 0.000], [0.000, 5.078, 0.000], [0.000, 0.000, 5.455]], "species": ["Ca", "Mg", "Mg", "Tl", "Pd"], "frac_coords": [[0.000, 0.000, 0.000], [0.000, 0.500, 0.500], [0.500, 0.000, 0.500], [0.500, 0.500, 0.000], [0.000, 0.000, 0.500]], "sg": "P4/mmm, No. 123", "e_form_mev_per_atom": -255}

=====

No. 10
{"formula": "Ca2MgTlPd", "functional": "PBE-GGA", "state": "optimized geometry", "cell": [[5.523, 0.000, 0.000], [0.000, 5.523, 0.000], [0.000, 0.000, 5.061]], "species": ["Ca", "Ca", "Mg", "Tl", "Pd"], "frac_coords": [[0.000, 0.500, 0.000], [0.500, 0.000, 0.000], [0.000, 0.000, 0.500], [0.500, 0.500, 0.500], [0.000, 0.000, 0.000]], "sg": "P4/mmm, No. 123", "e_form_mev_per_atom": -319}

=====

No. 11
{"formula": "CaMgTlPd", "functional": "PBE-GGA", "state": "optimized geometry", "cell": [[7.108, 0.000, 0.000], [0.000, 7.108, 0.000], [0.000, 0.000, 7.108]], "species": ["Ca", "Ca", "Ca", "Ca", "Mg", "Mg", "Mg", "Mg", "Tl", "Tl", "Tl", "Tl", "Pd", "Pd", "Pd", "Pd"], "frac_coords": [[0.000, 0.000, 0.000], [0.000, 0.500, 0.500], [0.500, 0.000, 0.500], [0.500, 0.500, 0.000], [0.000, 0.000, 0.500], [0.000, 0.500, 0.000], [0.500, 0.000, 0.000], [0.500, 0.500, 0.500], [0.250, 0.250, 0.750], [0.250, 0.750, 0.250], [0.750, 0.250, 0.250], [0.750, 0.750, 0.750], [0.250, 0.250, 0.250], [0.250, 0.750, 0.750], [0.750, 0.250, 0.750], [0.750, 0.750, 0.250]], "sg": "F-43m, No. 216", "e_form_mev_per_atom": -391}

=====

No. 12
{"formula": "CaTm2MgPd4", "functional": "PBE-GGA", "state": "optimized geometry", "cell": [[2.413, 1.393, 7.923], [-2.413, 1.393, 7.923], [0.000, -2.786, 7.923]], "species": ["Ca", "Tm", "Tm", "Mg", "Pd", "Pd", "Pd", "Pd"], "frac_coords": [[0.000, 0.000, 0.000], [0.246, 0.246, 0.246], [0.754, 0.754, 0.754], [0.500, 0.500, 0.500], [0.127, 0.127, 0.127], [0.381, 0.381, 0.381], [0.619, 0.619, 0.619], [0.873, 0.873, 0.873]], "sg": "R-3m, No. 166", "e_form_mev_per_atom": -808}